[1]
Computed, not measured: a relaxed structure of GeBiP2 at the GGA-PBE level of DFT.

Lattice parameters (Å, degrees): 6.7699 6.7699 6.7699 33.51 33.51 33.51
Fractional coordinates of all 4 atoms:
1 Ge 0.0000 0.0000 0.0000
2 Bi 0.5000 0.5000 0.5000
3 P 0.2611 0.2611 0.2611
4 P 0.7389 0.7389 0.7389

Computed properties:
Calculated formation energy (kJ/mol of formula units): 67
Size of the total moment (Bohr magnetons per cell): 0.000
Calculated density (g/cm³): 6.77
DOS at the Fermi energy (states/eV/cell): 2.02
E above lowest polymorph (meV per atom): 0
Space group: R-3m, No. 166

[2]
Computed, not measured: a relaxed structure of Y2SiW at the GGA-PBE level of DFT.

Lattice parameters (Å, degrees): 5.8027 5.8027 4.7593 114.13 114.13 37.34
Fractional coordinates of all 4 atoms:
1 Y 0.0000 0.0000 0.0000
2 Y 0.2192 0.2192 0.7180
3 Si 0.7632 0.7632 0.2618
4 W 0.4312 0.4312 0.4312

Computed properties:
Size of the total moment (Bohr magnetons per cell): 0.000
Calculated density (g/cm³): 7.38
DOS at the Fermi energy (states/eV/cell): 2.19
Final energy (Ry/atom): -0.5736
Space group: Cm, No. 8

[3]
Computed, not measured: a relaxed structure of GaNi6As at the GGA-PBE level of DFT.

Lattice parameters (Å, degrees): 5.0685 5.0685 3.5780 90.00 90.00 90.06
Fractional coordinates of all 8 atoms:
1 Ga 0.0000 0.0000 0.0000
2 Ni 0.0000 0.5000 0.0000
3 Ni 0.2501 0.2501 0.5000
4 Ni 0.2498 0.7502 0.5000
5 Ni 0.5000 0.0000 0.0000
6 Ni 0.7502 0.2498 0.5000
7 Ni 0.7499 0.7499 0.5000
8 As 0.5000 0.5000 0.0000

Computed properties:
Calculated formation energy (kJ/mol of formula units): -195
Size of the total moment (Bohr magnetons per cell): 0.000
Calculated density (g/cm³): 8.98
DOS at the Fermi energy (states/eV/cell): 7.11
Space group: Cmmm, No. 65

[4]
Computed, not measured: a relaxed structure of ZrScFeRe at the GGA-PBE level of DFT.

Lattice parameters (Å, degrees): 4.5903 4.5903 4.5903 60.00 60.00 60.00
Fractional coordinates of all 4 atoms:
1 Zr 0.0000 0.0000 0.0000
2 Sc 0.5000 0.5000 0.5000
3 Fe 0.2500 0.2500 0.2500
4 Re 0.7500 0.7500 0.7500

Computed properties:
Calculated formation energy (kJ/mol of formula units): -24
Size of the total moment (Bohr magnetons per cell): 1.613
Calculated density (g/cm³): 9.18
DOS at the Fermi energy (states/eV/cell): 6.03
Space group: F-43m, No. 216

[5]
Computed, not measured: a relaxed structure of LiFeHg2 at the GGA-PBE level of DFT.

Lattice parameters (Å, degrees): 3.0114 4.3216 5.6211 90.00 90.00 90.00
Fractional coordinates of all 4 atoms:
1 Li 0.0000 0.0000 0.0000
2 Fe 0.5000 0.5000 0.2999
3 Hg 0.0000 0.0000 0.4676
4 Hg 0.5000 0.5000 0.8097

Computed properties:
Calculated formation energy (kJ/mol of formula units): 70
Size of the total moment (Bohr magnetons per cell): 2.789
Calculated density (g/cm³): 10.53
DOS at the Fermi energy (states/eV/cell): 3.29
Space group: Pmm2, No. 25

[6]
Computed, not measured: a relaxed structure of HfCoGe2 at the GGA-PBE level of DFT.

Lattice parameters (Å, degrees): 5.1995 5.1995 5.1995 44.59 44.59 44.59
Fractional coordinates of all 4 atoms:
1 Hf 0.0000 0.0000 0.0000
2 Co 0.5000 0.5000 0.5000
3 Ge 0.2241 0.2241 0.2241
4 Ge 0.7759 0.7759 0.7759

Computed properties:
Calculated formation energy (kJ/mol of formula units): -133
Size of the total moment (Bohr magnetons per cell): 0.001
Calculated density (g/cm³): 10.09
DOS at the Fermi energy (states/eV/cell): 3.09
Space group: R-3m, No. 166

[7]
Computed, not measured: a relaxed structure of AgMo3H at the GGA-PBE level of DFT.

Lattice parameters (Å, degrees): 4.8377 4.8377 4.8377 90.00 90.00 90.00
Fractional coordinates of all 5 atoms:
1 Ag 0.0000 0.0000 0.0000
2 Mo 0.0000 0.0000 0.5000
3 Mo 0.0000 0.5000 0.0000
4 Mo 0.5000 0.0000 0.0000
5 H 0.5000 0.5000 0.5000

Computed properties:
Size of the total moment (Bohr magnetons per cell): 0.000
Calculated density (g/cm³): 5.82
DOS at the Fermi energy (states/eV/cell): 6.23
E above lowest polymorph (meV per atom): 2888
Space group: Pm-3m, No. 221

[8]
Computed, not measured: a relaxed structure of AcIn5 at the GGA-PBE level of DFT.

Lattice parameters (Å, degrees): 5.2796 5.2796 7.0486 90.00 90.00 120.00
Fractional coordinates of all 6 atoms:
1 Ac 0.0000 0.0000 0.0000
2 In 0.0000 0.0000 0.5000
3 In 0.3333 0.6667 0.2776
4 In 0.3333 0.6667 0.7224
5 In 0.6667 0.3333 0.2776
6 In 0.6667 0.3333 0.7224

Computed properties:
Calculated formation energy (kJ/mol of formula units): -154
Size of the total moment (Bohr magnetons per cell): 0.000
Calculated density (g/cm³): 7.82
DOS at the Fermi energy (states/eV/cell): 2.62
E above lowest polymorph (meV per atom): 0
Space group: P6/mmm, No. 191

Question: Which of these has the highest DOS at the Fermi energy?
Answer: GaNi6As

Question: What is the formula in the sixth record?
Answer: HfCoGe2